Below is a geometry-optimized Ho3Lu3FeBi2 structure, with properties calculated at the PBE-GGA level.

CIF file:
```
data_Ho3Lu3FeBi2
_chemical_formula_sum 'Ho3 Lu3 Fe1 Bi2'
_cell_length_a 8.2530
_cell_length_b 8.2530
_cell_length_c 4.0946
_cell_angle_alpha 90.00
_cell_angle_beta 90.00
_cell_angle_gamma 120.00
_symmetry_space_group_name_H-M 'P -6 2 m'
_symmetry_Int_Tables_number 189
_symmetry_space_group_name_Hall 'P -6 -2'
loop_
_atom_site_label
_atom_site_fract_x
_atom_site_fract_y
_atom_site_fract_z
Ho1 0.0000 0.2323 0.0000
Lu1 0.0000 0.6138 0.5000
Fe1 0.0000 0.0000 0.5000
Bi1 0.3333 0.6667 0.0000
```

Output
Energy relative to the lowest polymorph listed for this composition in meV per atom: 65
Spin magnetization in μB/f.u.: 0.04


Below is a geometry-optimized Ho3Sc3FeBi2 structure, with properties calculated at the PBE-GGA level.

CIF file:
```
data_Ho3Sc3FeBi2
_chemical_formula_sum 'Ho3 Sc3 Fe1 Bi2'
_cell_length_a 7.9445
_cell_length_b 7.9445
_cell_length_c 4.1399
_cell_angle_alpha 90.00
_cell_angle_beta 90.00
_cell_angle_gamma 120.00
_symmetry_space_group_name_H-M 'P -6 2 m'
_symmetry_Int_Tables_number 189
_symmetry_space_group_name_Hall 'P -6 -2'
loop_
_atom_site_label
_atom_site_fract_x
_atom_site_fract_y
_atom_site_fract_z
Ho1 0.0000 0.6133 0.0000
Sc1 0.0000 0.2224 0.5000
Fe1 0.0000 0.0000 0.0000
Bi1 0.3333 0.6667 0.5000
```

Output
Energy relative to the lowest polymorph listed for this composition in meV per atom: 0
Spin magnetization in μB/f.u.: 0.53


Below is a geometry-optimized Ho3Sc3FeBi2 structure, with properties calculated at the PBE-GGA level.

CIF file:
```
data_Ho3Sc3FeBi2
_chemical_formula_sum 'Ho3 Sc3 Fe1 Bi2'
_cell_length_a 8.1333
_cell_length_b 8.1333
_cell_length_c 3.9493
_cell_angle_alpha 90.00
_cell_angle_beta 90.00
_cell_angle_gamma 120.00
_symmetry_space_group_name_H-M 'P -6 2 m'
_symmetry_Int_Tables_number 189
_symmetry_space_group_name_Hall 'P -6 -2'
loop_
_atom_site_label
_atom_site_fract_x
_atom_site_fract_y
_atom_site_fract_z
Ho1 0.0000 0.2354 0.0000
Sc1 0.0000 0.6116 0.5000
Fe1 0.0000 0.0000 0.5000
Bi1 0.3333 0.6667 0.0000
```

Output
Energy relative to the lowest polymorph listed for this composition in meV per atom: 138
Spin magnetization in μB/f.u.: 0.67


Below is a geometry-optimized Ho3Zr3FeBi2 structure, with properties calculated at the PBE-GGA level.

CIF file:
```
data_Ho3Zr3FeBi2
_chemical_formula_sum 'Ho3 Zr3 Fe1 Bi2'
_cell_length_a 8.1615
_cell_length_b 8.1615
_cell_length_c 3.8028
_cell_angle_alpha 90.00
_cell_angle_beta 90.00
_cell_angle_gamma 120.00
_symmetry_space_group_name_H-M 'P -6 2 m'
_symmetry_Int_Tables_number 189
_symmetry_space_group_name_Hall 'P -6 -2'
loop_
_atom_site_label
_atom_site_fract_x
_atom_site_fract_y
_atom_site_fract_z
Ho1 0.0000 0.2406 0.0000
Zr1 0.0000 0.6070 0.5000
Fe1 0.0000 0.0000 0.5000
Bi1 0.3333 0.6667 0.0000
```

Output
Energy relative to the lowest polymorph listed for this composition in meV per atom: 182
Spin magnetization in μB/f.u.: 0.85


Below is a geometry-optimized Ho3Zr3FeBi2 structure, with properties calculated at the PBE-GGA level.

CIF file:
```
data_Ho3Zr3FeBi2
_chemical_formula_sum 'Ho3 Zr3 Fe1 Bi2'
_cell_length_a 8.0369
_cell_length_b 8.0369
_cell_length_c 4.0279
_cell_angle_alpha 90.00
_cell_angle_beta 90.00
_cell_angle_gamma 120.00
_symmetry_space_group_name_H-M 'P -6 2 m'
_symmetry_Int_Tables_number 189
_symmetry_space_group_name_Hall 'P -6 -2'
loop_
_atom_site_label
_atom_site_fract_x
_atom_site_fract_y
_atom_site_fract_z
Ho1 0.0000 0.6105 0.0000
Zr1 0.0000 0.2214 0.5000
Fe1 0.0000 0.0000 0.0000
Bi1 0.3333 0.6667 0.5000
```

Output
Energy relative to the lowest polymorph listed for this composition in meV per atom: 0
Spin magnetization in μB/f.u.: 2.68


Below is a geometry-optimized FeBi4I3 structure, with properties calculated at the PBE-GGA level.

CIF file:
```
data_FeBi4I3
_chemical_formula_sum 'Fe2 Bi8 I6'
_cell_length_a 6.130
_cell_length_b 6.130
_cell_length_c 15.540
_cell_angle_alpha 90.00
_cell_angle_beta 90.00
_cell_angle_gamma 90.00
_symmetry_space_group_name_H-M 'I 4/m m m'
_symmetry_Int_Tables_number 139
_symmetry_space_group_name_Hall '-I 4 2'
loop_
_atom_site_label
_atom_site_fract_x
_atom_site_fract_y
_atom_site_fract_z
Fe1 0.000 0.000 0.000
Bi1 0.000 0.000 0.163
Bi2 0.000 0.500 0.000
I1 0.000 0.000 0.500
I2 0.000 0.500 0.250
```

Output
Spin magnetization in μB/f.u.: 2.27
Calculated total energy in eV/atom: -3.390


Below is a geometry-optimized InFeBi2 structure, with properties calculated at the PBE-GGA level.

CIF file:
```
data_InFeBi2
_chemical_formula_sum 'In4 Fe4 Bi8'
_cell_length_a 7.485
_cell_length_b 7.485
_cell_length_c 7.485
_cell_angle_alpha 90.00
_cell_angle_beta 90.00
_cell_angle_gamma 90.00
_symmetry_space_group_name_H-M 'F -4 3 m'
_symmetry_Int_Tables_number 216
_symmetry_space_group_name_Hall 'F -4 2 3'
loop_
_atom_site_label
_atom_site_fract_x
_atom_site_fract_y
_atom_site_fract_z
In1 0.000 0.000 0.000
Fe1 0.250 0.250 0.250
Bi1 0.000 0.000 0.500
Bi2 0.250 0.250 0.750
```

Output
Spin magnetization in μB/f.u.: 2.99
Calculated total energy in eV/atom: -4.214


Below is a geometry-optimized InFe2Bi structure, with properties calculated at the PBE-GGA level.

CIF file:
```
data_InFe2Bi
_chemical_formula_sum 'In4 Fe8 Bi4'
_cell_length_a 6.407
_cell_length_b 6.407
_cell_length_c 6.407
_cell_angle_alpha 90.00
_cell_angle_beta 90.00
_cell_angle_gamma 90.00
_symmetry_space_group_name_H-M 'P m -3 m'
_symmetry_Int_Tables_number 221
_symmetry_space_group_name_Hall '-P 4 2 3'
loop_
_atom_site_label
_atom_site_fract_x
_atom_site_fract_y
_atom_site_fract_z
In1 0.000 0.000 0.000
In2 0.000 0.000 0.500
Fe1 0.248 0.248 0.248
Bi1 0.000 0.500 0.500
Bi2 0.500 0.500 0.500
```

Output
Spin magnetization in μB/f.u.: 3.65
Calculated total energy in eV/atom: -5.277


Below is a geometry-optimized InFe2Bi structure, with properties calculated at the PBE-GGA level.

CIF file:
```
data_InFe2Bi
_chemical_formula_sum 'In4 Fe8 Bi4'
_cell_length_a 6.408
_cell_length_b 6.408
_cell_length_c 6.408
_cell_angle_alpha 90.00
_cell_angle_beta 90.00
_cell_angle_gamma 90.00
_symmetry_space_group_name_H-M 'P m -3 m'
_symmetry_Int_Tables_number 221
_symmetry_space_group_name_Hall '-P 4 2 3'
loop_
_atom_site_label
_atom_site_fract_x
_atom_site_fract_y
_atom_site_fract_z
In1 0.000 0.000 0.000
In2 0.000 0.000 0.500
Fe1 0.248 0.248 0.248
Bi1 0.000 0.500 0.500
Bi2 0.500 0.500 0.500
```

Output
Spin magnetization in μB/f.u.: 3.65
Calculated total energy in eV/atom: -5.277


Below is a geometry-optimized MgInFeBi structure, with properties calculated at the PBE-GGA level.

CIF file:
```
data_MgInFeBi
_chemical_formula_sum 'Mg4 In4 Fe4 Bi4'
_cell_length_a 6.834
_cell_length_b 6.834
_cell_length_c 6.834
_cell_angle_alpha 90.00
_cell_angle_beta 90.00
_cell_angle_gamma 90.00
_symmetry_space_group_name_H-M 'F -4 3 m'
_symmetry_Int_Tables_number 216
_symmetry_space_group_name_Hall 'F -4 2 3'
loop_
_atom_site_label
_atom_site_fract_x
_atom_site_fract_y
_atom_site_fract_z
Mg1 0.000 0.000 0.000
In1 0.250 0.250 0.750
Fe1 0.000 0.000 0.500
Bi1 0.250 0.250 0.250
```

Output
Energy relative to the lowest polymorph listed for this composition in meV per atom: 0
Spin magnetization in μB/f.u.: 1.97


Below is a geometry-optimized FeBi2Ir structure, with properties calculated at the PBE-GGA level.

CIF file:
```
data_FeBi2Ir
_chemical_formula_sum 'Fe4 Bi8 Ir4'
_cell_length_a 6.982
_cell_length_b 6.982
_cell_length_c 6.982
_cell_angle_alpha 90.00
_cell_angle_beta 90.00
_cell_angle_gamma 90.00
_symmetry_space_group_name_H-M 'F -4 3 m'
_symmetry_Int_Tables_number 216
_symmetry_space_group_name_Hall 'F -4 2 3'
loop_
_atom_site_label
_atom_site_fract_x
_atom_site_fract_y
_atom_site_fract_z
Fe1 0.000 0.000 0.000
Bi1 0.000 0.000 0.500
Bi2 0.250 0.250 0.750
Ir1 0.250 0.250 0.250
```

Output
Energy relative to the lowest polymorph listed for this composition in meV per atom: 0
Spin magnetization in μB/f.u.: 3.57


Below is a geometry-optimized FeBiIr2 structure, with properties calculated at the PBE-GGA level.

CIF file:
```
data_FeBiIr2
_chemical_formula_sum 'Fe4 Bi4 Ir8'
_cell_length_a 6.378
_cell_length_b 6.378
_cell_length_c 6.378
_cell_angle_alpha 90.00
_cell_angle_beta 90.00
_cell_angle_gamma 90.00
_symmetry_space_group_name_H-M 'F -4 3 m'
_symmetry_Int_Tables_number 216
_symmetry_space_group_name_Hall 'F -4 2 3'
loop_
_atom_site_label
_atom_site_fract_x
_atom_site_fract_y
_atom_site_fract_z
Fe1 0.000 0.000 0.000
Bi1 0.250 0.250 0.750
Ir1 0.000 0.000 0.500
Ir2 0.250 0.250 0.250
```

Output
Spin magnetization in μB/f.u.: 2.83
Calculated total energy in eV/atom: -6.994